PrNdB2Pd8 | PBE | optimized geometry

```
12
Lattice="5.497 0.000 0.000 -2.748 4.760 0.000 0.000 0.000 7.651" Properties=species:S:1:pos:R:3 pbc="T T T"
Pr 0.000 0.000 0.000
Nd 0.000 0.000 3.826
B 0.000 3.173 3.826
B 2.748 1.587 3.826
Pd -1.374 2.380 2.327
Pd -1.374 2.380 5.324
Pd 0.000 3.173 0.000
Pd 2.748 0.000 2.327
Pd 2.748 0.000 5.324
Pd 1.374 2.380 2.327
Pd 1.374 2.380 5.324
Pd 2.748 1.587 0.000
```

## Properties
total moment = 0.00 Bohr magnetons per cell
space group = P6/mmm, No. 191
crystal system = hexagonal

DyTmCoSi2 | PBE | optimized geometry

```
10
Lattice="5.157 -2.053 0.000 5.157 2.053 0.000 -4.800 0.000 8.667" Properties=species:S:1:pos:R:3 pbc="T T T"
Dy 1.416 0.000 0.923
Dy 4.096 0.000 7.743
Tm -1.569 0.000 2.856
Tm 7.082 0.000 5.811
Co -0.177 0.000 5.380
Co 5.690 0.000 3.287
Si 1.540 0.000 3.764
Si 4.481 0.000 1.103
Si 1.032 0.000 7.563
Si 3.972 0.000 4.903
```

## Properties
total moment = 0.68 Bohr magnetons per cell
space group = C2/m, No. 12
crystal system = monoclinic

SmFeOs | PBE | optimized geometry

```
3
Lattice="0.000 3.102 3.102 3.102 0.000 3.102 3.102 3.102 0.000" Properties=species:S:1:pos:R:3 pbc="T T T"
Sm 0.000 0.000 0.000
Fe 4.654 4.654 4.654
Os 3.102 3.102 3.102
```

## Properties
total moment = 3.22 Bohr magnetons per cell
space group = F-43m, No. 216
ΔE_f = 0.544 eV/atom
crystal system = cubic

BaSm2 | PBE | optimized geometry

```
6
Lattice="0.000 5.052 5.052 5.052 0.000 5.052 5.052 5.052 0.000" Properties=species:S:1:pos:R:3 pbc="T T T"
Ba 1.263 1.263 1.263
Ba 8.840 8.840 8.840
Sm 5.052 2.526 2.526
Sm 2.526 5.052 2.526
Sm 2.526 2.526 5.052
Sm 5.052 5.052 5.052
```

## Properties
total moment = 0.19 Bohr magnetons per cell
space group = Fd-3m, No. 227
crystal system = cubic

Cs3Na2ReO6 | PBE | optimized geometry

```
12
Lattice="3.068 -5.347 0.000 3.068 5.347 0.000 -1.933 0.000 6.412" Properties=species:S:1:pos:R:3 pbc="T T T"
Cs 0.000 0.000 0.000
Cs 3.068 1.853 0.000
Cs 3.068 -1.853 0.000
Na 2.102 3.564 3.206
Na 2.102 -3.564 3.206
Re 2.102 0.000 3.206
O 1.274 1.373 2.148
O 0.544 0.000 4.347
O 1.274 -1.373 2.148
O 2.929 1.373 4.263
O 3.659 0.000 2.065
O 2.929 -1.373 4.263
```

## Properties
total moment = 0.00 Bohr magnetons per cell
space group = C2/m, No. 12
crystal system = monoclinic

MgAgTeO | PBE | optimized geometry

```
8
Lattice="1.865 -6.936 0.000 1.865 6.936 0.000 0.000 0.000 5.845" Properties=species:S:1:pos:R:3 pbc="T T T"
Mg 1.865 5.729 4.384
Mg 1.865 -5.729 1.461
Ag 1.865 1.124 4.384
Ag 1.865 -1.124 1.461
Te 1.865 3.492 1.461
Te 1.865 -3.492 4.384
O 0.000 0.000 0.000
O 0.000 0.000 2.922
```

## Properties
space group = Cmcm, No. 63
crystal system = orthorhombic

For the records above, the corresponding total DFT energy (no corrections) values read -5.9899; -6.1859; -7.5374; -3.5028; -5.4717; -3.8558 eV/atom.